The following is a DFT calculation (PBEsol) of a relaxed FePdF2 crystal.

## Properties
DOS(E_F) = 0.620 states/eV/atom
Crystal system = trigonal
Total magnetic moment = 3.145 μB per formula unit
Volume = 46.9 Å³/cell
Uncorrected formation energy = -0.9163 eV per atom

abc: 2.731 2.731 7.433
angles: 79.41 79.41 60.00
Element x y z (fractional)
Pd 0.000 0.000 0.000
F 0.899 0.899 0.304
F 0.101 0.101 0.696
Fe 0.500 0.500 0.500

The following is a DFT calculation (PBEsol) of a relaxed TaTc2Ag crystal.

## Properties
DOS(E_F) = 1.198 states/eV/atom
Crystal system = tetragonal
ΔE to the lowest computed polymorph = 0.049 eV/atom
Total magnetic moment = 0.000 μB per formula unit
Volume = 62.3 Å³/cell

abc: 3.216 3.216 6.021
angles: 90.00 90.00 90.00
Element x y z (fractional)
Tc 0.000 0.000 0.266
Tc 0.000 0.000 0.734
Ag 0.500 0.500 0.000
Ta 0.500 0.500 0.500

The following is a DFT calculation (PBEsol) of a relaxed Hf3CrMo crystal.

## Properties
Final energy = -9.53 eV/atom
DOS(E_F) = 1.760 states/eV/atom
Crystal system = cubic
Total magnetic moment = 3.538 μB per formula unit
Volume = 119.4 Å³/cell

abc: 4.924 4.924 4.924
angles: 90.00 90.00 90.00
Element x y z (fractional)
Hf 0.000 0.500 0.000
Hf 0.000 0.000 0.500
Hf 0.500 0.000 0.000
Mo 0.000 0.000 0.000
Cr 0.500 0.500 0.500

The following is a DFT calculation (PBEsol) of a relaxed ZnNiIr crystal.

## Properties
DOS(E_F) = 1.076 states/eV/atom
Crystal system = trigonal
ΔE to the lowest computed polymorph = 0.001 eV/atom
Total magnetic moment = 0.006 μB per formula unit
Volume = 38.0 Å³/cell

abc: 2.665 2.665 6.177
angles: 90.00 90.00 120.00
Element x y z (fractional)
Ir 0.000 0.000 0.992
Ni 0.667 0.333 0.662
Zn 0.333 0.667 0.346